# 1
Material: DyErInAg
Method: DFT, PBE
State: optimized geometry

Output
Space-group type: F-43m, No. 216
Formation energy from the elements, meV/atom: -397
DOS(E_F), states/eV/cell: 3.02

abc: 5.2288 5.2288 5.2288
angles: 60.00 60.00 60.00
Sites, in units of the cell vectors:
Dy 0.0000 0.0000 0.0000
Er 0.5000 0.5000 0.5000
In 0.2500 0.2500 0.2500
Ag 0.7500 0.7500 0.7500


# 2
Material: NaCuSnS2
Method: DFT, PBE
State: optimized geometry

Output
Formation energy (no corrections), meV/atom: -515
Space-group type: P2/c, No. 13
DOS(E_F), states/eV/cell: 0.08

abc: 6.9175 4.7436 7.7893
angles: 90.00 111.82 90.00
Sites, in units of the cell vectors:
Na 0.0000 0.2330 0.2500
Na 0.0000 0.7670 0.7500
Cu 0.5000 0.0000 0.0000
Cu 0.5000 0.0000 0.5000
Sn 0.5000 0.4098 0.7500
Sn 0.5000 0.5902 0.2500
S 0.2386 0.2615 0.9982
S 0.2386 0.7385 0.4982
S 0.7614 0.2615 0.5018
S 0.7614 0.7385 0.0018


# 3
Material: Sc2SiNi2
Method: DFT, PBE
State: optimized geometry

Output
Formation energy (no corrections), meV/atom: -291
Space-group type: I4/mmm, No. 139
DOS(E_F), states/eV/cell: 4.09

abc: 8.0747 8.0747 8.0747
angles: 156.48 156.48 33.50
Sites, in units of the cell vectors:
Sc 0.1126 0.1126 0.0000
Sc 0.8874 0.8874 0.0000
Si 0.5000 0.5000 0.0000
Ni 0.2500 0.7500 0.5000
Ni 0.7500 0.2500 0.5000


# 4
Material: Li2PmPr
Method: DFT, PBE
State: optimized geometry

Output
Space-group type: P4/mmm, No. 123
Formation energy from the elements, meV/atom: 150
DOS(E_F), states/eV/cell: 5.94

abc: 5.2546 5.2546 4.0223
angles: 90.00 90.00 90.00
Sites, in units of the cell vectors:
Li 0.0000 0.5000 0.0000
Li 0.5000 0.0000 0.0000
Pm 0.0000 0.0000 0.5000
Pr 0.5000 0.5000 0.5000


# 5
Material: Ac2LaBi3Rh4
Method: DFT, PBE
State: optimized geometry

Output
Space-group type: P-4m2, No. 115
Formation energy from the elements, meV/atom: -619
DOS(E_F), states/eV/cell: 8.51

abc: 4.7823 4.7823 11.1925
angles: 90.00 90.00 90.00
Sites, in units of the cell vectors:
Ac 0.0000 0.5000 0.2188
Ac 0.5000 0.0000 0.7812
La 0.0000 0.0000 0.5000
Bi 0.0000 0.5000 0.8762
Bi 0.5000 0.0000 0.1238
Bi 0.5000 0.5000 0.5000
Rh 0.0000 0.0000 0.0000
Rh 0.0000 0.5000 0.6374
Rh 0.5000 0.0000 0.3626
Rh 0.5000 0.5000 0.0000


# 6
Material: AlCr2In
Method: DFT, PBE
State: optimized geometry

Output
Space-group type: I-42d, No. 122
Formation energy from the elements, meV/atom: 744
DOS(E_F), states/eV/cell: 7.17

abc: 5.8727 5.8727 5.8727
angles: 104.18 104.18 120.68
Sites, in units of the cell vectors:
Al 0.0000 0.0000 0.0000
Al 0.7500 0.2500 0.5000
Cr 0.1026 0.6250 0.9776
Cr 0.3750 0.3526 0.4776
Cr 0.6474 0.1250 0.0224
Cr 0.8750 0.8974 0.5224
In 0.2500 0.7500 0.5000
In 0.5000 0.5000 0.0000


# 7
Material: LaZrO3
Method: DFT, PBE
State: optimized geometry

Output
Formation energy (no corrections), meV/atom: -3007
Space-group type: Pm-3m, No. 221
DOS(E_F), states/eV/cell: 3.80

abc: 4.1911 4.1911 4.1911
angles: 90.00 90.00 90.00
Sites, in units of the cell vectors:
La 0.0000 0.0000 0.0000
Zr 0.5000 0.5000 0.5000
O 0.0000 0.5000 0.5000
O 0.5000 0.0000 0.5000
O 0.5000 0.5000 0.0000


# 8
Material: Na8Bi2S
Method: DFT, PBE
State: optimized geometry

Output
Formation energy (no corrections), meV/atom: -526
Space-group type: C2/m, No. 12
DOS(E_F), states/eV/cell: 1.00

abc: 9.5427 9.5427 6.8792
angles: 110.95 110.95 32.51
Sites, in units of the cell vectors:
Na 0.0068 0.0068 0.2704
Na 0.2164 0.2164 0.7699
Na 0.3553 0.3553 0.5623
Na 0.3976 0.3976 0.0930
Na 0.6024 0.6024 0.9070
Na 0.6447 0.6447 0.4377
Na 0.7836 0.7836 0.2301
Na 0.9932 0.9932 0.7296
Bi 0.1674 0.1674 0.1811
Bi 0.8326 0.8326 0.8189
S 0.5000 0.5000 0.5000


# 9
Material: Er2B6Os
Method: DFT, PBE
State: optimized geometry

Output
Polymorph energy (0 for the lowest one), eV/atom: 0.0000
Space-group type: Pbam, No. 55
Formation energy from the elements, meV/atom: -690
DOS(E_F), states/eV/cell: 3.25

abc: 9.1048 11.4768 3.6333
angles: 90.00 90.00 90.00
Sites, in units of the cell vectors:
Er 0.0562 0.1266 0.0000
Er 0.1789 0.4136 0.0000
Er 0.3211 0.9136 0.0000
Er 0.4438 0.6266 0.0000
Er 0.5562 0.3734 0.0000
Er 0.6789 0.0864 0.0000
Er 0.8211 0.5864 0.0000
Er 0.9438 0.8734 0.0000
B 0.0178 0.2869 0.5000
B 0.0532 0.5667 0.5000
B 0.1089 0.9698 0.5000
B 0.1312 0.8147 0.5000
B 0.2093 0.2332 0.5000
B 0.2480 0.5796 0.5000
B 0.2520 0.0796 0.5000
B 0.2907 0.7332 0.5000
B 0.3688 0.3147 0.5000
B 0.3911 0.4698 0.5000
B 0.4468 0.0667 0.5000
B 0.4822 0.7869 0.5000
B 0.5178 0.2131 0.5000
B 0.5532 0.9333 0.5000
B 0.6089 0.5302 0.5000
B 0.6312 0.6853 0.5000
B 0.7093 0.2668 0.5000
B 0.7480 0.9204 0.5000
B 0.7520 0.4204 0.5000
B 0.7907 0.7668 0.5000
B 0.8688 0.1853 0.5000
B 0.8911 0.0302 0.5000
B 0.9468 0.4333 0.5000
B 0.9822 0.7131 0.5000
Os 0.1372 0.6786 0.0000
Os 0.3628 0.1786 0.0000
Os 0.6372 0.8214 0.0000
Os 0.8628 0.3214 0.0000


# 10
Material: PrPuH2O6
Method: DFT, PBE
State: optimized geometry

Output
Space-group type: P1, No. 1
Total DFT energy (no corrections), eV per atom: -7.73

abc: 4.8061 5.3924 5.8689
angles: 92.72 108.34 113.20
Sites, in units of the cell vectors:
Pr 0.0000 0.0000 0.0000
Pu 0.0655 0.4902 0.4991
H 0.4375 0.0566 0.6752
H 0.5991 0.9381 0.3119
O 0.2135 0.2730 0.7139
O 0.2662 0.4211 0.2885
O 0.5130 0.9104 0.6776
O 0.6259 0.0788 0.2098
O 0.8963 0.5796 0.7254
O 0.9194 0.7004 0.2829


# 11
Material: Hf2ScH4
Method: DFT, PBE
State: optimized geometry

Output
Space-group type: Imma, No. 74
Total DFT energy (no corrections), eV per atom: -6.04
DOS(E_F), states/eV/cell: 10.81

abc: 6.0979 6.0979 6.0979
angles: 120.02 120.01 89.97
Sites, in units of the cell vectors:
Hf 0.0000 0.0000 0.0000
Hf 0.5000 0.0000 0.0000
Hf 0.5000 0.0000 0.5000
Hf 0.5000 0.5000 0.5000
Sc 0.1246 0.3746 0.7500
Sc 0.8754 0.6254 0.2500
H 0.2650 0.2347 0.0303
H 0.2652 0.2352 0.4700
H 0.2652 0.7952 0.0300
H 0.2956 0.7653 0.5303
H 0.7044 0.2347 0.4697
H 0.7348 0.2048 0.9700
H 0.7348 0.7648 0.5300
H 0.7350 0.7653 0.9697


# 12
Material: PrEr4Cd
Method: DFT, PBE
State: optimized geometry

Output
Polymorph energy (0 for the lowest one), eV/atom: 0.0000
Space-group type: P4/mmm, No. 123
Formation energy from the elements, meV/atom: -83
DOS(E_F), states/eV/cell: 8.79

abc: 3.5735 3.5735 14.0753
angles: 90.00 90.00 90.00
Sites, in units of the cell vectors:
Pr 0.0000 0.0000 0.0000
Er 0.0000 0.0000 0.3554
Er 0.0000 0.0000 0.6446
Er 0.5000 0.5000 0.1812
Er 0.5000 0.5000 0.8188
Cd 0.5000 0.5000 0.5000


# 13
Material: LiAlS2N
Method: DFT, PBE
State: optimized geometry

Output
Formation energy (no corrections), meV/atom: 831
Polymorph energy (0 for the lowest one), eV/atom: 0.8281
Space-group type: P4/mmm, No. 123
DOS(E_F), states/eV/cell: 2.45

abc: 4.4865 4.4865 3.5031
angles: 90.00 90.00 90.00
Sites, in units of the cell vectors:
Li 0.0000 0.0000 0.0000
Al 0.5000 0.5000 0.5000
S 0.0000 0.5000 0.0000
S 0.5000 0.0000 0.0000
N 0.0000 0.0000 0.5000


# 14
Material: ScMnRe2
Method: DFT, PBE
State: optimized geometry

Output
Polymorph energy (0 for the lowest one), eV/atom: 0.3150
Space-group type: Cmmm, No. 65
Formation energy from the elements, meV/atom: 262
DOS(E_F), states/eV/cell: 4.01

abc: 5.1063 5.1063 2.6289
angles: 90.00 90.00 114.89
Sites, in units of the cell vectors:
Sc 0.0000 0.0000 0.0000
Mn 0.5000 0.5000 0.0000
Re 0.0000 0.5000 0.5000
Re 0.5000 0.0000 0.5000


# 15
Material: Hg2IrRu
Method: DFT, PBE
State: optimized geometry

Output
Polymorph energy (0 for the lowest one), eV/atom: 0.1795
Space-group type: Cm, No. 8
Formation energy from the elements, meV/atom: 487
DOS(E_F), states/eV/cell: 2.62

abc: 4.2723 4.2723 7.6991
angles: 104.58 104.58 38.28
Sites, in units of the cell vectors:
Hg 0.0000 0.0000 0.0000
Hg 0.7363 0.7363 0.3198
Ir 0.2354 0.2354 0.7339
Ru 0.4721 0.4721 0.6041


# 16
Material: CsVSe2
Method: DFT, PBE
State: optimized geometry

Output
Formation energy (no corrections), meV/atom: -446
Space-group type: P4/mmm, No. 123
DOS(E_F), states/eV/cell: 1.71

abc: 3.2991 3.2991 8.4604
angles: 90.00 90.00 90.00
Sites, in units of the cell vectors:
Cs 0.0000 0.0000 0.0000
V 0.0000 0.0000 0.5000
Se 0.5000 0.5000 0.3265
Se 0.5000 0.5000 0.6735


# 17
Material: PrDy3Tm3
Method: DFT, PBE
State: optimized geometry

Output
Polymorph energy (0 for the lowest one), eV/atom: 0.2011
Space-group type: R-3, No. 148
Formation energy from the elements, meV/atom: 212
DOS(E_F), states/eV/cell: 22.89

abc: 8.7796 8.7796 8.7796
angles: 58.52 58.52 58.52
Sites, in units of the cell vectors:
Pr 0.1512 0.1512 0.1512
Pr 0.8488 0.8488 0.8488
Dy 0.0697 0.5647 0.2274
Dy 0.2274 0.0697 0.5647
Dy 0.4353 0.7726 0.9303
Dy 0.5647 0.2274 0.0697
Dy 0.7726 0.9303 0.4353
Dy 0.9303 0.4353 0.7726
Tm 0.2157 0.6718 0.4353
Tm 0.3282 0.5647 0.7843
Tm 0.4353 0.2157 0.6718
Tm 0.5647 0.7843 0.3282
Tm 0.6718 0.4353 0.2157
Tm 0.7843 0.3282 0.5647


# 18
Material: HfAlPtAu2
Method: DFT, PBE
State: optimized geometry

Output
Space-group type: P4/mmm, No. 123
Formation energy from the elements, meV/atom: 495
DOS(E_F), states/eV/cell: 3.73

abc: 5.1124 5.1124 4.8290
angles: 90.00 90.00 90.00
Sites, in units of the cell vectors:
Hf 0.0000 0.0000 0.0000
Al 0.5000 0.5000 0.0000
Pt 0.0000 0.0000 0.5000
Au 0.0000 0.5000 0.5000
Au 0.5000 0.0000 0.5000


# 19
Material: Tc2IrOs
Method: DFT, PBE
State: optimized geometry

Output
Polymorph energy (0 for the lowest one), eV/atom: 0.5615
Space-group type: P4mm, No. 99
Formation energy from the elements, meV/atom: 373
DOS(E_F), states/eV/cell: 4.83

abc: 3.2724 3.2724 5.5757
angles: 90.00 90.00 90.00
Sites, in units of the cell vectors:
Tc 0.0000 0.0000 0.0000
Tc 0.5000 0.5000 0.2648
Ir 0.0000 0.0000 0.5126
Os 0.5000 0.5000 0.7402


# 20
Material: CoAsOs2
Method: DFT, PBE
State: optimized geometry

Output
Space-group type: Immm, No. 71
Formation energy from the elements, meV/atom: 393
DOS(E_F), states/eV/cell: 3.60

abc: 5.2831 5.2831 5.2831
angles: 148.44 132.37 58.26
Sites, in units of the cell vectors:
Co 0.0000 0.0000 0.0000
As 0.5000 0.5000 0.0000
Os 0.2862 0.7862 0.5000
Os 0.7138 0.2138 0.5000


# 21
Material: InH2NO
Method: DFT, PBE
State: optimized geometry

Output
Space-group type: P4/mmm, No. 123
Total DFT energy (no corrections), eV per atom: -4.22
DOS(E_F), states/eV/cell: 0.45

abc: 2.9413 2.9413 6.7076
angles: 90.00 90.00 90.00
Sites, in units of the cell vectors:
In 0.0000 0.0000 0.0000
H 0.0000 0.5000 0.5000
H 0.5000 0.0000 0.5000
N 0.5000 0.5000 0.0000
O 0.5000 0.5000 0.5000


# 22
Material: SrTa2Zn
Method: DFT, PBE
State: optimized geometry

Output
Space-group type: P2/m, No. 10
Formation energy from the elements, meV/atom: 691
DOS(E_F), states/eV/cell: 3.80

abc: 3.1213 5.3166 5.3244
angles: 90.00 98.12 90.00
Sites, in units of the cell vectors:
Sr 0.0000 0.0000 0.0000
Ta 0.3669 0.5000 0.7238
Ta 0.6331 0.5000 0.2762
Zn 0.5000 0.0000 0.5000


# 23
Material: K3Pr3SnTe8
Method: DFT, PBE
State: optimized geometry

Output
Formation energy (no corrections), meV/atom: -1110
Space-group type: C2/m, No. 12
DOS(E_F), states/eV/cell: 3.14

abc: 9.1145 9.1145 9.9754
angles: 117.23 117.23 59.92
Sites, in units of the cell vectors:
K 0.0000 0.0000 0.0000
K 0.0000 0.5000 0.0000
K 0.5000 0.0000 0.0000
Pr 0.0000 0.5000 0.5000
Pr 0.5000 0.0000 0.5000
Pr 0.5000 0.5000 0.5000
Sn 0.0000 0.0000 0.5000
Te 0.2272 0.2272 0.7065
Te 0.2271 0.7523 0.7064
Te 0.2477 0.7729 0.2936
Te 0.2613 0.2613 0.2838
Te 0.7387 0.7387 0.7162
Te 0.7523 0.2271 0.7064
Te 0.7729 0.2477 0.2936
Te 0.7728 0.7728 0.2935


# 24
Material: ReMo2Cl
Method: DFT, PBE
State: optimized geometry

Output
Formation energy (no corrections), meV/atom: 708
Polymorph energy (0 for the lowest one), eV/atom: 0.4686
Space-group type: Immm, No. 71
DOS(E_F), states/eV/cell: 2.68

abc: 5.2277 5.2277 5.2277
angles: 147.34 128.40 62.41
Sites, in units of the cell vectors:
Re 0.0000 0.0000 0.0000
Mo 0.2716 0.7716 0.5000
Mo 0.7284 0.2284 0.5000
Cl 0.5000 0.5000 0.0000


# 25
Material: LiMnIn2
Method: DFT, PBE
State: optimized geometry

Output
Space-group type: Cm, No. 8
Formation energy from the elements, meV/atom: 61
DOS(E_F), states/eV/cell: 2.27

abc: 5.5436 5.5436 4.8032
angles: 107.91 107.91 33.21
Sites, in units of the cell vectors:
Li 0.0000 0.0000 0.0000
Mn 0.2595 0.2595 0.6417
In 0.5178 0.5178 0.5280
In 0.7546 0.7546 0.1410